Entry 1:
Entry from Alexandria via LeMat-Bulk: a relaxed MnAs3F crystal (GGA-PBEsol).

* E_tot: -26.83 eV per cell
* DOS(E_F): 1.00 states/eV/atom
* formation energy (no corrections): 0.04 eV/atom

a b c (Å): 4.4792 4.4792 4.4792
angles (deg): 90.00 90.00 90.00
Last column: magnetic moment on the atom in μB.
Fractional coordinates of all 5 atoms:
Mn 0.0000 0.0000 0.0000  1.20
As 0.0000 0.5000 0.0000  0.08
As 0.5000 0.0000 0.0000  0.08
F 0.5000 0.5000 0.5000  0.03
As 0.0000 0.0000 0.5000  0.08

=====

Entry 2:
Entry from Alexandria via LeMat-Bulk: a relaxed DyNbO4 crystal (GGA-PBEsol).

* E_tot: -109.67 eV per cell
* DOS(E_F): 0.00 states/eV/atom
* formation energy (no corrections): -3.01 eV/atom

a b c (Å): 6.1000 6.1000 6.1000
angles (deg): 107.13 107.13 114.26
Fractional coordinates of all 12 atoms:
O 0.3781 0.1851 0.1930
Dy 0.7500 0.2500 0.5000
O 0.8149 0.6219 0.8070
O 0.9921 0.1851 0.8070
O 0.8719 0.5649 0.3070
Nb 0.2500 0.7500 0.5000
O 0.2579 0.5649 0.6930
Nb 0.0000 0.0000 0.0000
O 0.8149 0.0079 0.1930
O 0.4351 0.1281 0.6930
O 0.4351 0.7421 0.3070
Dy 0.5000 0.5000 0.0000

=====

Entry 3:
Entry from Alexandria via LeMat-Bulk: a relaxed SrGePO2 crystal (GGA-PBEsol).

* E_tot: -27.97 eV per cell
* DOS(E_F): 0.59 states/eV/atom
* formation energy (no corrections): -0.98 eV/atom

a b c (Å): 4.0152 4.0152 4.6480
angles (deg): 90.00 90.00 90.00
Fractional coordinates of all 5 atoms:
O 0.0000 0.5000 0.0000
O 0.5000 0.0000 0.0000
Ge 0.0000 0.0000 0.0000
P 0.0000 0.0000 0.5000
Sr 0.5000 0.5000 0.5000

=====

Entry 4:
Entry from Alexandria via LeMat-Bulk: a relaxed Cr2SiRu crystal (GGA-PBEsol).

* E_tot: -37.53 eV per cell
* DOS(E_F): 0.61 states/eV/atom
* formation energy (no corrections): -0.28 eV/atom

a b c (Å): 2.8873 2.8873 5.6396
angles (deg): 90.00 90.00 90.00
Fractional coordinates of all 4 atoms:
Si 0.5000 0.5000 0.7567
Ru 0.0000 0.0000 0.5151
Cr 0.0000 0.0000 0.0094
Cr 0.5000 0.5000 0.2189